1.
Density functional theory data (GGA-PBE) for a relaxed structure of SrMgAg5Sn2.

Summary:
Energy of formation: 0.032 eV/atom

Cell: 5.069 5.069 8.721 Å, 90.00 90.00 90.00°
Fractional positions:
Sr (0.000, 0.000, 0.000)
Mg (0.000, 0.000, 0.500)
Ag (0.000, 0.500, 0.224)
Ag (0.000, 0.500, 0.776)
Ag (0.500, 0.000, 0.224)
Ag (0.500, 0.000, 0.776)
Ag (0.500, 0.500, 0.000)
Sn (0.500, 0.500, 0.337)
Sn (0.500, 0.500, 0.663)

2.
Density functional theory data (GGA-PBE) for a relaxed structure of MgTaAgSn2.

Summary:
Energy of formation: 0.744 eV/atom

Cell: 5.347 5.347 5.284 Å, 90.00 90.00 90.00°
Fractional positions:
Mg (0.000, 0.000, 0.000)
Ta (0.500, 0.500, 0.500)
Ag (0.500, 0.500, 0.000)
Sn (0.000, 0.500, 0.500)
Sn (0.500, 0.000, 0.500)

3.
Density functional theory data (GGA-PBE) for a relaxed structure of TbMg2Ag2Sn2.

Summary:
Energy of formation: -0.335 eV/atom

Cell: 8.741 8.741 8.741 Å, 30.90 30.90 30.90°
Fractional positions:
Tb (0.000, 0.000, 0.000)
Mg (0.138, 0.138, 0.138)
Mg (0.862, 0.862, 0.862)
Ag (0.440, 0.440, 0.440)
Ag (0.560, 0.560, 0.560)
Sn (0.266, 0.266, 0.266)
Sn (0.734, 0.734, 0.734)

4.
Density functional theory data (GGA-PBE) for a relaxed structure of MgAgSnTe3.

Summary:
Raw formation energy: -29.7 kJ/mol of atoms

Cell: 8.570 4.454 9.609 Å, 90.00 100.12 90.00°
Fractional positions:
Mg (0.168, 0.250, 0.170)
Mg (0.832, 0.750, 0.830)
Ag (0.407, 0.750, 0.491)
Ag (0.593, 0.250, 0.509)
Sn (0.328, 0.750, 0.830)
Sn (0.672, 0.250, 0.170)
Te (0.082, 0.250, 0.859)
Te (0.225, 0.250, 0.474)
Te (0.398, 0.750, 0.143)
Te (0.602, 0.250, 0.857)
Te (0.775, 0.750, 0.526)
Te (0.918, 0.750, 0.141)

5.
Density functional theory data (GGA-PBE) for a relaxed structure of MgAgSn2Te4.

Summary:
Raw formation energy: -33.4 kJ/mol of atoms

Cell: 7.504 4.348 7.555 Å, 90.00 109.72 90.00°
Fractional positions:
Mg (0.000, 0.000, 0.000)
Ag (0.000, 0.500, 0.500)
Sn (0.500, 0.000, 0.500)
Sn (0.500, 0.500, 0.000)
Te (0.233, 0.000, 0.748)
Te (0.233, 0.500, 0.240)
Te (0.767, 0.000, 0.252)
Te (0.767, 0.500, 0.760)

6.
Density functional theory data (GGA-PBE) for a relaxed structure of ThMg2Ag2Sn2.

Summary:
Energy of formation: -0.281 eV/atom

Cell: 8.929 8.929 8.929 Å, 30.29 30.29 30.29°
Fractional positions:
Th (0.000, 0.000, 0.000)
Mg (0.139, 0.139, 0.139)
Mg (0.861, 0.861, 0.861)
Ag (0.442, 0.442, 0.442)
Ag (0.558, 0.558, 0.558)
Sn (0.263, 0.263, 0.263)
Sn (0.737, 0.737, 0.737)

7.
Density functional theory data (GGA-PBE) for a relaxed structure of TmMgAgSn.

Summary:
Energy of formation: -0.373 eV/atom

Cell: 7.133 7.133 7.133 Å, 90.00 90.00 90.00°
Fractional positions:
Tm (0.000, 0.000, 0.000)
Tm (0.000, 0.500, 0.500)
Tm (0.500, 0.000, 0.500)
Tm (0.500, 0.500, 0.000)
Mg (0.000, 0.000, 0.500)
Mg (0.000, 0.500, 0.000)
Mg (0.500, 0.000, 0.000)
Mg (0.500, 0.500, 0.500)
Ag (0.250, 0.250, 0.750)
Ag (0.250, 0.750, 0.250)
Ag (0.750, 0.250, 0.250)
Ag (0.750, 0.750, 0.750)
Sn (0.250, 0.250, 0.250)
Sn (0.250, 0.750, 0.750)
Sn (0.750, 0.250, 0.750)
Sn (0.750, 0.750, 0.250)

8.
Density functional theory data (GGA-PBE) for a relaxed structure of YMg2Ag2Sn2.

Summary:
Energy of formation: -0.335 eV/atom

Cell: 8.735 8.735 8.735 Å, 30.93 30.93 30.93°
Fractional positions:
Y (0.000, 0.000, 0.000)
Mg (0.138, 0.138, 0.138)
Mg (0.862, 0.862, 0.862)
Ag (0.440, 0.440, 0.440)
Ag (0.560, 0.560, 0.560)
Sn (0.266, 0.266, 0.266)
Sn (0.734, 0.734, 0.734)